[1]
A geometry-optimized LiBN structure, computed with PBE-GGA.

a b c (Å): 3.4748 3.4748 3.7351
angles (deg): 117.72 117.72 90.00
Last column: magnetic moment on the atom in μB.
Element x y z (fractional)
Li (0.9323, 0.9323, 0.8647)  0.03
B (0.3442, 0.3442, 0.6885)  0.47
N (0.5734, 0.5734, 0.1468)  0.13

## Properties
Final energy   -5.217 eV per atom
ΔE_f (raw)   0.42 eV/atom
Space group   I4mm

---

[2]
A geometry-optimized RbIrN2F structure, computed with PBE-GGA.

a b c (Å): 3.7584 3.7584 6.7208
angles (deg): 90.00 90.00 90.00
Last column: magnetic moment on the atom in μB.
Element x y z (fractional)
N (0.5000, 0.0000, 0.0000)  0.12
N (0.0000, 0.5000, 0.0000)  0.12
Ir (0.0000, 0.0000, 0.0000)  -0.04
F (0.0000, 0.0000, 0.5000)  0.00
Rb (0.5000, 0.5000, 0.5000)  0.00

## Properties
Final energy   -5.911 eV per atom
ΔE_f (raw)   -0.24 eV/atom
Space group   P4/mmm

---

[3]
A geometry-optimized Ba2CuF7 structure, computed with PBE-GGA.

a b c (Å): 8.3190 7.6090 7.5538
angles (deg): 68.98 56.59 56.86
Element x y z (fractional)
Ba (0.5829, 0.9156, 0.7420)
Ba (0.4171, 0.0844, 0.2580)
Ba (0.2406, 0.5844, 0.7580)
Ba (0.7594, 0.4156, 0.2420)
F (0.0791, 0.9990, 0.6442)
F (0.8086, 0.7494, 0.9844)
F (0.9568, 0.3589, 0.4785)
F (0.9209, 0.0010, 0.3558)
F (0.6053, 0.2500, 0.7500)
F (0.4576, 0.2494, 0.4844)
F (0.1914, 0.2506, 0.0156)
F (0.3947, 0.7500, 0.2500)
F (0.7224, 0.5010, 0.8558)
F (0.7943, 0.1411, 0.0215)
F (0.0432, 0.6411, 0.5215)
F (0.2776, 0.4990, 0.1442)
F (0.5424, 0.7506, 0.5156)
F (0.2057, 0.8589, 0.9785)
Cu (0.1301, 0.7500, 0.2500)
Cu (0.8699, 0.2500, 0.7500)

## Properties
Final energy   -4.949 eV per atom
ΔE_f (raw)   -2.85 eV/atom
Space group   C2/c